Entry from Alexandria via LeMat-Bulk: an optimized crystal structure of NiMo3 (PBEsol).

Values from the calculation:
Energy of formation   21 kJ per mole of atoms
Crystal system   cubic

```
data_NiMo3
_chemical_formula_sum 'Ni4 Mo12'
_cell_length_a 6.0999
_cell_length_b 6.0999
_cell_length_c 6.0999
_cell_angle_alpha 90.00
_cell_angle_beta 90.00
_cell_angle_gamma 90.00
_symmetry_space_group_name_H-M 'F m -3 m'
_symmetry_Int_Tables_number 225
_symmetry_space_group_name_Hall '-F 4 2 3'
loop_
_atom_site_label
_atom_site_type_symbol
_atom_site_fract_x
_atom_site_fract_y
_atom_site_fract_z
_atom_site_occupancy
Ni1 Ni 0.0000 0.0000 0.0000 1
Mo1 Mo 0.0000 0.0000 0.5000 1
Mo2 Mo 0.2500 0.2500 0.2500 1
```

Entry from Alexandria via LeMat-Bulk: an optimized crystal structure of Sm10Se19 (PBEsol).

Values from the calculation:
Crystal system   tetragonal
Energy relative to the elements, uncorrected   -1.720 eV/atom

```
data_Sm10Se19
_chemical_formula_sum 'Sm20 Se38'
_cell_length_a 9.0781
_cell_length_b 9.0781
_cell_length_c 16.6207
_cell_angle_alpha 90.00
_cell_angle_beta 90.00
_cell_angle_gamma 90.00
_symmetry_space_group_name_H-M 'P 42/n'
_symmetry_Int_Tables_number 86
loop_
_symmetry_equiv_pos_as_xyz
'x,y,z'
'-x,-y,-z'
'-y,x+1/2,z+1/2'
'y,-x+1/2,-z+1/2'
'-x+1/2,-y+1/2,z'
'x+1/2,y+1/2,-z'
'y+1/2,-x,z+1/2'
'-y+1/2,x,-z+1/2'
loop_
_atom_site_label
_atom_site_type_symbol
_atom_site_fract_x
_atom_site_fract_y
_atom_site_fract_z
_atom_site_occupancy
Sm1 Sm 0.0439 0.3475 0.1191 1
Sm2 Sm 0.0528 0.3520 0.6074 1
Sm3 Sm 0.2500 0.7500 0.1170 1
Se1 Se 0.0299 0.8306 0.2500 1
Se2 Se 0.0492 0.3475 0.4299 1
Se3 Se 0.0519 0.3506 0.9365 1
Se4 Se 0.0627 0.8770 0.7507 1
Se5 Se 0.2500 0.2500 0.2500 1
Se6 Se 0.2500 0.7500 0.4360 1
```

Entry from Alexandria via LeMat-Bulk: an optimized crystal structure of Sc2TaCl (PBEsol).

Values from the calculation:
Crystal system   orthorhombic
Energy relative to the elements, uncorrected   -0.077 eV/atom

```
data_Sc2TaCl
_chemical_formula_sum 'Sc2 Ta1 Cl1'
_cell_length_a 3.0340
_cell_length_b 4.7604
_cell_length_c 5.5541
_cell_angle_alpha 90.00
_cell_angle_beta 90.00
_cell_angle_gamma 90.00
_symmetry_space_group_name_H-M 'P m m 2'
_symmetry_Int_Tables_number 25
loop_
_symmetry_equiv_pos_as_xyz
'x,y,z'
'-x,-y,z'
'-x,y,z'
'x,-y,z'
loop_
_atom_site_label
_atom_site_type_symbol
_atom_site_fract_x
_atom_site_fract_y
_atom_site_fract_z
_atom_site_occupancy
Sc1 Sc 0.0000 0.0000 0.0000 1
Sc2 Sc 0.5000 0.5000 0.3819 1
Ta1 Ta 0.0000 0.0000 0.4799 1
Cl1 Cl 0.5000 0.5000 0.9246 1
```

Entry from Alexandria via LeMat-Bulk: an optimized crystal structure of Cu2MoRh (PBEsol).

Values from the calculation:
Energy of formation   13 kJ per mole of atoms
Crystal system   monoclinic

```
data_Cu2MoRh
_chemical_formula_sum 'Cu4 Mo2 Rh2'
_cell_length_a 8.8247
_cell_length_b 2.6550
_cell_length_c 4.5245
_cell_angle_alpha 90.00
_cell_angle_beta 99.83
_cell_angle_gamma 90.00
_symmetry_space_group_name_H-M 'C 1 2/m 1'
_symmetry_Int_Tables_number 12
loop_
_symmetry_equiv_pos_as_xyz
'x,y,z'
'-x,-y,-z'
'-x,y,-z'
'x,-y,z'
'x+1/2,y+1/2,z'
'-x+1/2,-y+1/2,-z'
'-x+1/2,y+1/2,-z'
'x+1/2,-y+1/2,z'
loop_
_atom_site_label
_atom_site_type_symbol
_atom_site_fract_x
_atom_site_fract_y
_atom_site_fract_z
_atom_site_occupancy
Cu1 Cu 0.2488 0.0000 0.2496 1
Mo1 Mo 0.0000 0.0000 0.5000 1
Rh1 Rh 0.0000 0.5000 0.0000 1
```

Entry from Alexandria via LeMat-Bulk: an optimized crystal structure of Mg17Al11In (PBEsol).

Values from the calculation:
Energy of formation   -2 kJ per mole of atoms
Crystal system   monoclinic

```
data_Mg17Al11In
_chemical_formula_sum 'Mg34 Al22 In2'
_cell_length_a 10.5053
_cell_length_b 14.8413
_cell_length_c 9.1084
_cell_angle_alpha 90.00
_cell_angle_beta 125.21
_cell_angle_gamma 90.00
_symmetry_space_group_name_H-M 'C 1 m 1'
_symmetry_Int_Tables_number 8
loop_
_symmetry_equiv_pos_as_xyz
'x,y,z'
'x,-y,z'
'x+1/2,y+1/2,z'
'x+1/2,-y+1/2,z'
loop_
_atom_site_label
_atom_site_type_symbol
_atom_site_fract_x
_atom_site_fract_y
_atom_site_fract_z
_atom_site_occupancy
Mg1 Mg 0.0000 0.0000 0.0000 1
Mg2 Mg 0.0064 0.0000 0.3474 1
Mg3 Mg 0.0195 0.3011 0.6624 1
Mg4 Mg 0.0435 0.3548 0.3468 1
Mg5 Mg 0.1047 0.5000 0.6302 1
Mg6 Mg 0.2024 0.2002 0.0297 1
Mg7 Mg 0.3122 0.0000 0.0602 1
Mg8 Mg 0.3340 0.3255 0.3493 1
Mg9 Mg 0.3461 0.3416 0.7433 1
Mg10 Mg 0.3480 0.0000 0.6876 1
Mg11 Mg 0.4431 0.1597 0.9428 1
Al1 Al 0.0018 0.1836 0.1603 1
Al2 Al 0.0992 0.0934 0.7138 1
Al3 Al 0.1884 0.1833 0.5307 1
Al4 Al 0.2307 0.4063 0.9748 1
Al5 Al 0.2799 0.0909 0.3448 1
Al6 Al 0.3259 0.5000 0.5420 1
In1 In 0.1316 0.5000 0.1675 1
```

Entry from Alexandria via LeMat-Bulk: an optimized crystal structure of MgZn2Sb (PBEsol).

Values from the calculation:
Crystal system   cubic
Energy relative to the elements, uncorrected   0.089 eV/atom

```
data_MgZn2Sb
_chemical_formula_sum 'Mg4 Zn8 Sb4'
_cell_length_a 6.8498
_cell_length_b 6.8498
_cell_length_c 6.8498
_cell_angle_alpha 90.00
_cell_angle_beta 90.00
_cell_angle_gamma 90.00
_symmetry_space_group_name_H-M 'F -4 3 m'
_symmetry_Int_Tables_number 216
_symmetry_space_group_name_Hall 'F -4 2 3'
loop_
_atom_site_label
_atom_site_type_symbol
_atom_site_fract_x
_atom_site_fract_y
_atom_site_fract_z
_atom_site_occupancy
Mg1 Mg 0.0000 0.0000 0.0000 1
Zn1 Zn 0.0000 0.0000 0.5000 1
Zn2 Zn 0.2500 0.2500 0.7500 1
Sb1 Sb 0.2500 0.2500 0.2500 1
```

Entry from Alexandria via LeMat-Bulk: an optimized crystal structure of CdBiSbOs2 (PBEsol).

Values from the calculation:
Crystal system   tetragonal
Energy relative to the elements, uncorrected   2.421 eV/atom

```
data_CdBiSbOs2
_chemical_formula_sum 'Cd1 Bi1 Sb1 Os2'
_cell_length_a 4.9749
_cell_length_b 4.9749
_cell_length_c 5.5524
_cell_angle_alpha 90.00
_cell_angle_beta 90.00
_cell_angle_gamma 90.00
_symmetry_space_group_name_H-M 'P 4/m m m'
_symmetry_Int_Tables_number 123
_symmetry_space_group_name_Hall '-P 4 2'
loop_
_atom_site_label
_atom_site_type_symbol
_atom_site_fract_x
_atom_site_fract_y
_atom_site_fract_z
_atom_site_occupancy
Cd1 Cd 0.0000 0.0000 0.0000 1
Bi1 Bi 0.5000 0.5000 0.5000 1
Sb1 Sb 0.5000 0.5000 0.0000 1
Os1 Os 0.0000 0.5000 0.5000 1
```

Entry from Alexandria via LeMat-Bulk: an optimized crystal structure of CuHgAu2 (PBEsol).

Values from the calculation:
Energy of formation   4 kJ per mole of atoms
Crystal system   orthorhombic

```
data_CuHgAu2
_chemical_formula_sum 'Cu1 Hg1 Au2'
_cell_length_a 3.9142
_cell_length_b 4.0219
_cell_length_c 4.1928
_cell_angle_alpha 90.00
_cell_angle_beta 90.00
_cell_angle_gamma 90.00
_symmetry_space_group_name_H-M 'P m m m'
_symmetry_Int_Tables_number 47
loop_
_symmetry_equiv_pos_as_xyz
'x,y,z'
'-x,-y,-z'
'-x,-y,z'
'x,y,-z'
'x,-y,-z'
'-x,y,z'
'-x,y,-z'
'x,-y,z'
loop_
_atom_site_label
_atom_site_type_symbol
_atom_site_fract_x
_atom_site_fract_y
_atom_site_fract_z
_atom_site_occupancy
Cu1 Cu 0.0000 0.0000 0.0000 1
Hg1 Hg 0.5000 0.5000 0.0000 1
Au1 Au 0.0000 0.5000 0.5000 1
Au2 Au 0.5000 0.0000 0.5000 1
```